DFT (GGA+U) results for crystalline LiCr2SnF6 at its relaxed geometry.

Cell and atoms, written as extended XYZ:
```
10
Lattice="7.672 -0.726 -0.514 3.140 4.157 -0.814 3.433 0.423 4.431" Properties=species:S:1:pos:R:3 pbc="T T T"
F 4.591 3.136 0.337
F 6.820 1.485 0.135
F 8.895 2.305 2.102
F 3.483 1.006 2.920
F 6.192 2.561 2.917
F 4.197 -0.086 0.182
Sn 11.008 2.651 2.267
Cr 7.830 -0.271 0.269
Cr 6.773 3.322 1.176
Li 7.829 2.001 3.726
```

## Properties
Total magnetic moment ... 9.0 Bohr magnetons per cell
SG ... No. 1
E ... -54.9 eV/cell